VASP calculation (GGA-PBE) on an optimized crystal structure of Y2Cl.

Cell: 3.6281 6.2645 6.9824 Å, 90.00 90.00 90.00°
Positions (direct):
Y: 0.5000 0.7058 0.8429
Y: 0.5000 0.2942 0.1571
Y: 0.0000 0.7942 0.3429
Y: 0.0000 0.2058 0.6571
Cl: 0.0000 0.0000 0.0000
Cl: 0.5000 0.5000 0.5000

Summary:
Space group: Pnnm
ΔE to the lowest computed polymorph: 68 meV/atom
Size of the total moment: 0.00 μB/cell

VASP calculation (GGA-PBE) on an optimized crystal structure of BIr3Os.

Cell: 4.7438 4.7438 4.7438 Å, 90.00 90.00 90.00°
Positions (direct):
B: 0.5000 0.5000 0.5000
Os: 0.0000 0.0000 0.0000
Ir: 0.0000 0.0000 0.5000
Ir: 0.5000 0.0000 0.0000
Ir: 0.0000 0.5000 0.0000

Summary:
Space group: Pm-3m
ΔE to the lowest computed polymorph: 2122 meV/atom
ΔE_f: 2627 meV per atom
Size of the total moment: 0.00 μB/cell

VASP calculation (GGA-PBE) on an optimized crystal structure of RbHg2Te.

Cell: 9.4701 9.4701 7.5831 Å, 51.36 51.36 90.00°
Positions (direct):
Hg: 0.6863 0.1250 0.2500
Hg: 0.8750 0.9363 0.7500
Hg: 0.3750 0.3137 0.7500
Hg: 0.0637 0.6250 0.2500
Rb: 0.5000 0.5000 0.0000
Rb: 0.2500 0.7500 0.5000
Te: 0.7500 0.2500 0.5000
Te: 0.0000 0.0000 0.0000

Summary:
Space group: I-42d
ΔE to the lowest computed polymorph: 90 meV/atom
Size of the total moment: 0.00 μB/cell

VASP calculation (GGA-PBE) on an optimized crystal structure of HgSbBr3.

Cell: 8.1040 9.0856 13.8412 Å, 90.00 92.18 90.00°
Positions (direct):
Br: 0.6423 0.2727 0.4918
Br: 0.1304 0.6275 0.0931
Br: 0.1304 0.3725 0.5931
Br: 0.2518 0.3275 0.2746
Br: 0.8696 0.6275 0.4069
Br: 0.6423 0.7273 0.9918
Br: 0.3577 0.7273 0.5082
Br: 0.7482 0.3275 0.2254
Br: 0.3577 0.2727 0.0082
Br: 0.2518 0.6725 0.7746
Br: 0.7482 0.6725 0.7254
Br: 0.8696 0.3725 0.9069
Hg: 0.9921 0.9908 0.3704
Hg: 0.0079 0.0092 0.6296
Hg: 0.0079 0.9908 0.1296
Hg: 0.9921 0.0092 0.8704
Sb: 0.1046 0.6627 0.6041
Sb: 0.1046 0.3373 0.1041
Sb: 0.8954 0.3373 0.3959
Sb: 0.8954 0.6627 0.8959

Summary:
Space group: P2/c
ΔE to the lowest computed polymorph: 2 meV/atom
Size of the total moment: 0.00 μB/cell

VASP calculation (GGA-PBE) on an optimized crystal structure of Ac8Pd2Pt.

Cell: 4.2186 9.8022 10.2335 Å, 94.40 101.89 90.00°
Positions (direct):
Ac: 0.2221 0.3291 0.4442
Ac: 0.5959 0.5380 0.1919
Ac: 0.3446 0.0273 0.6892
Ac: 0.0121 0.2150 0.0241
Ac: 0.7779 0.6709 0.5558
Ac: 0.9879 0.7850 0.9759
Ac: 0.6554 0.9727 0.3108
Ac: 0.4041 0.4620 0.8081
Pd: 0.1670 0.7410 0.3341
Pd: 0.8330 0.2590 0.6659
Pt: 0.5000 0.0000 0.0000

Summary:
Space group: C2/m
ΔE_f: -495 meV per atom
Size of the total moment: 0.00 μB/cell

VASP calculation (GGA-PBE) on an optimized crystal structure of Te2HAuN.

Cell: 5.8665 5.8665 3.7057 Å, 90.00 90.00 90.00°
Each line ends with the local moment (μB).
Positions (direct):
Te: 0.5000 0.0000 0.0000  -0.03
Te: 0.0000 0.5000 0.0000  -0.03
H: 0.5000 0.5000 0.5000  0.32
N: 0.0000 0.0000 0.5000  -0.06
Au: 0.0000 0.0000 0.0000  -0.01

Summary:
Space group: P4/mmm
ΔE to the lowest computed polymorph: 435 meV/atom
Size of the total moment: 0.57 μB/cell

VASP calculation (GGA-PBE) on an optimized crystal structure of Ta2CN.

Cell: 3.1450 3.1450 4.4631 Å, 90.00 90.00 90.00°
Positions (direct):
C: 0.0000 0.0000 0.5000
Ta: 0.0000 0.0000 0.0000
Ta: 0.5000 0.5000 0.5000
N: 0.5000 0.5000 0.0000

Summary:
Space group: P4/mmm
ΔE to the lowest computed polymorph: 56 meV/atom
Size of the total moment: 0.00 μB/cell

VASP calculation (GGA-PBE) on an optimized crystal structure of Li2PmCu.

Cell: 3.1028 3.1028 10.3410 Å, 81.37 81.37 60.00°
Each line ends with the local moment (μB).
Positions (direct):
Li: 0.1025 0.1025 0.6925  0.00
Li: 0.8975 0.8975 0.3075  0.00
Pm: 0.0000 0.0000 0.0000  0.22
Cu: 0.5000 0.5000 0.5000  0.00

Summary:
Space group: R-3m
ΔE to the lowest computed polymorph: 177 meV/atom
ΔE_f: 292 meV per atom
Size of the total moment: 0.34 μB/cell